GGA-PBE ZrW2Se, relaxed; magnetic moment = 0.000 μB per cell; SG = R3m; formation energy without anion corrections = 63 kJ/mol of formula units
1.0
-3.848 6.563 3.392
-5.950 4.161 4.083
-3.368 4.677 6.015
W Se Zr
2 1 1
direct
0.998 0.998 0.998
0.257 0.257 0.257
0.747 0.747 0.747
0.498 0.498 0.498